(1)
YFeSi2 (PBE-GGA, relaxed); total DFT energy (no corrections) = -6.293 eV/atom; total magnetization = 1.0 Bohr magnetons per cell
1.0
0.000 3.172 3.172
3.172 0.000 3.172
3.172 3.172 0.000
Si Y Fe
2 1 1
Direct
0.250 0.250 0.250
0.000 0.000 0.000
0.500 0.500 0.500
0.750 0.750 0.750

---

(2)
YFe2Si2 (PBE-GGA, relaxed); total DFT energy (no corrections) = -7.465 eV/atom; total magnetization = 0.2 Bohr magnetons per cell
1.0
2.189 1.314 -3.012
-2.734 -1.279 -2.545
-1.935 4.219 3.022
Fe Si Y
2 2 1
Direct
0.250 0.750 0.500
0.750 0.250 0.500
0.633 0.633 0.267
0.367 0.367 0.733
0.000 0.000 0.000

---

(3)
ZrZnFeSi (PBE-GGA, relaxed); total DFT energy (no corrections) = -6.001 eV/atom; ΔE to the lowest computed polymorph = 61.7 meV/atom; total magnetization = 1.8 Bohr magnetons per cell
1.0
0.000 3.106 3.106
3.106 0.000 3.106
3.106 3.106 0.000
Si Zn Fe Zr
1 1 1 1
Direct
0.000 0.000 0.000
0.500 0.500 0.500
0.750 0.750 0.750
0.250 0.250 0.250